Record 1
Here is crystalline Rb3LaRu at its relaxed geometry from Alexandria via LeMat-Bulk. Energies are from GGA-PBE.

* volume: 44.89 Å³ per atom
* ΔE_f: 0.98 eV/atom
* DOS at the Fermi energy: 10.99 states/eV per cell
* total magnetic moment: 1.2 μB per formula unit
* energy above the most stable polymorph in this dataset: 4.09 eV/f.u.

Lattice parameters (Å, degrees): 3.6416 5.7990 21.2584 90.00 90.00 90.00
Closest atoms and distances in Å follow each position.
Space group Amm2 (No. 38)
Inequivalent atoms, fractional coordinates:
Rb  0.0000  0.0000  0.0000 x2  2 Ru 3.59, 2 Rb 3.64
Rb  0.5000  0.2475  0.2910 x4  2 Rb 2.87-2.93
La  0.0000  0.0000  0.6349 x2  4 Ru 3.43, 2 La 3.64
Ru  0.5000  0.0000  0.1453 x2  4 Rb 3.41-3.59, 4 La 3.43, 2 Ru 3.64

Record 2
Here is crystalline Rb3LaRu at its relaxed geometry from Alexandria via LeMat-Bulk. Energies are from GGA-PBE.

* volume: 43.30 Å³ per atom
* ΔE_f: 0.72 eV/atom
* DOS at the Fermi energy: 3.69 states/eV per cell
* total magnetic moment: 0.0 μB per formula unit
* energy above the most stable polymorph in this dataset: 2.82 eV/f.u.

Lattice parameters (Å, degrees): 4.4824 4.4824 10.7761 90.00 90.00 90.00
Closest atoms and distances in Å follow each position.
Space group P4mm (No. 99)
Inequivalent atoms, fractional coordinates:
Rb  0.0000  0.0000  0.0000 x1  1 Ru 3.58
Rb  0.0000  0.5000  0.5861 x2  4 Rb 3.17, 2 Ru 3.54
La  0.5000  0.5000  0.2823 x1  4 Ru 3.21
Ru  0.0000  0.0000  0.3322 x1  4 La 3.21, 5 Rb 3.54-3.58